[1]
Density functional theory data (PBE) for an optimized crystal structure of In2GaMoIr.

As for the total energy: -4.897 eV per atom.

abc: 5.2445 5.2445 4.8755
angles: 90.00 90.00 90.00
Closest atoms and distances in Å follow each position.
Space group P4/mmm (No. 123)
Inequivalent atoms, fractional coordinates:
In (0.0000, 0.5000, 0.0000) (multiplicity 2)  2 Ir 2.62
Ga (0.0000, 0.0000, 0.5000) (multiplicity 1)  2 Ir 2.44
Mo (0.5000, 0.5000, 0.5000) (multiplicity 1)  8 In 3.58, 4 Ga 3.71
Ir (0.0000, 0.0000, 0.0000) (multiplicity 1)  2 Ga 2.44, 4 In 2.62

[2]
Density functional theory data (PBE) for an optimized crystal structure of SrLaHg.

The calculation puts the energy relative to the lowest polymorph listed for this composition at 178 meV per atom. As for the total energy: -2.466 eV per atom.

abc: 5.4112 5.4112 4.2923
angles: 90.00 90.00 120.00
Closest atoms and distances in Å follow each position.
Space group P3m1 (No. 156)
Inequivalent atoms, fractional coordinates:
Sr (0.0000, 0.0000, 0.0000) (multiplicity 1)  3 Hg 3.48, 6 La 3.73-3.86
La (0.3333, 0.6667, 0.5270) (multiplicity 1)  3 Hg 3.21
Hg (0.6667, 0.3333, 0.3583) (multiplicity 1)  3 La 3.21, 3 Sr 3.48

[3]
Density functional theory data (PBE) for an optimized crystal structure of Pm2NdDyIn4.

As for the total energy: -4.215 eV per atom.

abc: 5.4158 5.4158 26.5939
angles: 90.00 90.00 120.00
Closest atoms and distances in Å follow each position.
Space group R-3m (No. 166, hexagonal axes)
Inequivalent atoms, fractional coordinates:
Pm (0.0000, 0.0000, 0.2505) (multiplicity 6)  8 In 3.28-3.37
Nd (0.0000, 0.0000, 0.5000) (multiplicity 3)  8 In 3.33-3.35
Dy (0.0000, 0.0000, 0.0000) (multiplicity 3)  8 In 3.29-3.31
In (0.0000, 0.0000, 0.1238) (multiplicity 6)  1 Dy 3.29, 4 Pm 3.31-3.37, 3 Nd 3.33
In (0.0000, 0.0000, 0.3739) (multiplicity 6)  4 Pm 3.28-3.32, 3 Dy 3.31, 1 Nd 3.35

[4]
Density functional theory data (PBE) for an optimized crystal structure of Li2ZnSb2.

The calculation puts the energy relative to the lowest polymorph listed for this composition at 0 meV per atom. As for the total energy: -2.979 eV per atom. The uncorrected formation energy comes out at -0.310 eV per atom.

abc: 11.4892 4.3548 9.5216
angles: 90.00 110.67 90.00
Closest atoms and distances in Å follow each position.
Space group C2/m (No. 12)
Inequivalent atoms, fractional coordinates:
Li (0.0292, 0.0000, 0.3479) (multiplicity 4)  2 Zn 2.86, 2 Sb 2.93, 1 Li 3.20
Li (0.1362, 0.0000, 0.0799) (multiplicity 4)  3 Sb 2.87-2.92, 2 Li 2.96-3.20, 2 Zn 3.04
Zn (0.1787, 0.5000, 0.3158) (multiplicity 4)  4 Sb 2.70-2.94, 2 Li 2.86
Sb (0.0607, 0.5000, 0.8702) (multiplicity 4)  1 Zn 2.70, 4 Li 2.87-2.93
Sb (0.1713, 0.5000, 0.6214) (multiplicity 4)  3 Zn 2.71-2.94, 1 Li 2.92

[5]
Density functional theory data (PBE) for an optimized crystal structure of K2Ga5Pt4.

As for the total energy: -4.261 eV per atom.

abc: 12.3303 6.2994 7.6396
angles: 90.00 117.28 90.00
Closest atoms and distances in Å follow each position.
Space group C2/m (No. 12)
Inequivalent atoms, fractional coordinates:
K (0.1477, 0.0000, 0.4713) (multiplicity 4)  4 Pt 3.53-3.65, 6 Ga 3.56-3.69, 3 K 3.86-3.93
Ga (0.0000, 0.5000, 0.5000) (multiplicity 2)  4 Pt 2.46-2.57
Ga (0.1417, 0.2706, 0.0578) (multiplicity 8)  4 Pt 2.44-2.64
Pt (0.0358, 0.5000, 0.2091) (multiplicity 4)  5 Ga 2.46-2.64
Pt (0.1994, 0.5000, 0.8242) (multiplicity 4)  5 Ga 2.44-2.63

[6]
Density functional theory data (PBE) for an optimized crystal structure of TbPm2Pr4Sm2.

As for the total energy: -4.728 eV per atom.

abc: 15.5536 5.1909 8.1775
angles: 90.00 108.59 90.00
Closest atoms and distances in Å follow each position.
Space group C2/m (No. 12)
Inequivalent atoms, fractional coordinates:
Tb (0.0000, 0.0000, 0.0000) (multiplicity 2)  2 Pm 3.65, 6 Pr 3.65, 4 Sm 3.67
Pm (0.1112, 0.0000, 0.6691) (multiplicity 4)  1 Tb 3.65, 3 Sm 3.65, 7 Pr 3.66-3.69, 1 Pm 3.68
Pr (0.0547, 0.5000, 0.3315) (multiplicity 4)  2 Sm 3.64-3.66, 2 Tb 3.65, 4 Pm 3.66-3.69, 4 Pr 3.67-3.68
Pr (0.2220, 0.0000, 0.3314) (multiplicity 4)  1 Tb 3.65, 3 Sm 3.65, 3 Pm 3.67-3.69, 5 Pr 3.68
Sm (0.1664, 0.5000, 0.9998) (multiplicity 4)  5 Pr 3.64-3.66, 3 Pm 3.65, 2 Tb 3.67, 2 Sm 3.67